Material: KV3Cd4O12
Method: DFT, GGA+U
State: optimized geometry

abc: 13.1678 13.7448 7.2097
angles: 90.00 115.24 90.00
With the nearest neighbours (Å) after each atom.
Space group Cc (No. 9)
Symmetry-distinct sites (fractional):
1 K 0.0000 0.0318 0.0000 (multiplicity 4)  6 O 2.70-3.02
2 V 0.2328 0.1128 0.8873 (multiplicity 4)  4 O 1.72-1.78
3 V 0.2623 0.3913 0.6137 (multiplicity 4)  4 O 1.72-1.81
4 V 0.4994 0.2029 0.4990 (multiplicity 4)  4 O 1.74-1.77
5 Cd 0.0187 0.4928 0.7085 (multiplicity 4)  5 O 2.33-2.55
6 Cd 0.2205 0.1575 0.3985 (multiplicity 4)  6 O 2.25-2.37
7 Cd 0.2777 0.3396 0.1059 (multiplicity 4)  6 O 2.25-2.34
8 Cd 0.4966 0.2354 0.9917 (multiplicity 4)  6 O 2.33-2.45
9 O 0.0430 0.2253 0.2193 (multiplicity 4)  1 V 1.75
10 O 0.0951 0.3823 0.9776 (multiplicity 4)  1 V 1.77
11 O 0.1135 0.4096 0.5394 (multiplicity 4)  1 V 1.81
12 O 0.1590 0.1715 0.6495 (multiplicity 4)  1 V 1.76
13 O 0.1703 0.0012 0.8718 (multiplicity 4)  1 V 1.72
14 O 0.2105 0.1801 0.0707 (multiplicity 4)  1 V 1.74
15 O 0.2792 0.3224 0.4285 (multiplicity 4)  1 V 1.73
16 O 0.3277 0.4992 0.1266 (multiplicity 4)  1 V 1.72
17 O 0.3363 0.3336 0.8498 (multiplicity 4)  1 V 1.75
18 O 0.3797 0.1025 0.9621 (multiplicity 4)  1 V 1.78
19 O 0.4040 0.1199 0.5208 (multiplicity 4)  1 V 1.75
20 O 0.4537 0.2752 0.2809 (multiplicity 4)  1 V 1.74

As for the total energy: -5.951 eV per atom.